No. 1
! TlMo2Rh | the Alexandria database | PBEsol | optimized geometry; values from VASP
! distance to the lowest polymorph of the same formula = 147 meV/atom
! VASP energy = -32.41 eV per formula unit
! mass density = 12.2 g/cm³
! Fermi-level density of states = 4.040 states/eV/f.u.
! volume = 67.7 Å³ per cell
! space group = P4/mmm
&SYSTEM
  ibrav = 0, nat = 4, ntyp = 3
/
ATOMIC_SPECIES
Mo 95.94 Mo.upf
Rh 102.91 Rh.upf
Tl 204.38 Tl.upf
CELL_PARAMETERS angstrom
-0.1113 -2.4462 -2.3989
2.9363 1.1687 -1.3279
2.9679 -3.5269 3.4588
ATOMIC_POSITIONS crystal
Mo 0.0000 0.0000 0.2012
Mo 0.0000 0.0000 0.7988
Rh 0.5000 0.5000 0.0000
Tl 0.5000 0.5000 0.5000

No. 2
! CrO | the Alexandria database | PBEsol | optimized geometry; values from VASP
! VASP energy = -18.09 eV per formula unit
! mass density = 5.1 g/cm³
! Fermi-level density of states = 1.253 states/eV/f.u.
! volume = 44.7 Å³ per cell
! formation energy from raw total energies = -2.6 eV/f.u.
! space group = P4_2/mmc
&SYSTEM
  ibrav = 0, nat = 4, ntyp = 2
/
ATOMIC_SPECIES
Cr 52.00 Cr.upf
O 16.00 O.upf
CELL_PARAMETERS angstrom
2.9336 0.3880 0.0647
-0.3927 2.9330 0.0647
-0.1012 -0.1322 5.0980
ATOMIC_POSITIONS crystal
Cr 0.0000 0.5000 0.0000
Cr 0.5000 0.0000 0.5000
O 0.4995 0.5005 0.7500
O 0.5005 0.4995 0.2500

No. 3
! ReSbPt | the Alexandria database | PBEsol | optimized geometry; values from VASP
! VASP energy = -23.67 eV per formula unit
! mass density = 16.4 g/cm³
! Fermi-level density of states = 1.289 states/eV/f.u.
! volume = 51.0 Å³ per cell
! formation energy from raw total energies = 1.2 eV/f.u.
! space group = P3m1
&SYSTEM
  ibrav = 0, nat = 3, ntyp = 3
/
ATOMIC_SPECIES
Re 186.21 Re.upf
Sb 121.76 Sb.upf
Pt 195.08 Pt.upf
CELL_PARAMETERS angstrom
-1.4149 2.2488 -1.4893
-1.5304 -2.5206 0.7624
-1.6126 2.6552 5.5414
ATOMIC_POSITIONS crystal
Re 0.3333 0.6667 0.6690
Sb 0.6667 0.3333 0.3403
Pt 0.0000 0.0000 0.9907

No. 4
! KZr2Tc | the Alexandria database | PBEsol | optimized geometry; values from VASP
! distance to the lowest polymorph of the same formula = 0 meV/atom
! VASP energy = -29.94 eV per formula unit
! mass density = 5.1 g/cm³
! Fermi-level density of states = 1.911 states/eV/f.u.
! volume = 105.0 Å³ per cell
! space group = P2/m
&SYSTEM
  ibrav = 0, nat = 4, ntyp = 3
/
ATOMIC_SPECIES
K 39.10 K.upf
Zr 91.22 Zr.upf
Tc 98.00 Tc.upf
CELL_PARAMETERS angstrom
-1.1836 -0.4571 -2.9748
-0.9147 -2.9909 0.8235
-8.8867 3.5522 3.0308
ATOMIC_POSITIONS crystal
K 0.5000 0.5000 0.0000
Zr 0.9981 0.0000 0.3471
Zr 0.0019 0.0000 0.6529
Tc 0.5000 0.5000 0.5000

No. 5
! LiRe2Mo | the Alexandria database | PBEsol | optimized geometry; values from VASP
! distance to the lowest polymorph of the same formula = 152 meV/atom
! VASP energy = -38.75 eV per formula unit
! mass density = 14.0 g/cm³
! Fermi-level density of states = 2.858 states/eV/f.u.
! volume = 56.2 Å³ per cell
! space group = I4/mmm
&SYSTEM
  ibrav = 0, nat = 4, ntyp = 3
/
ATOMIC_SPECIES
Li 6.94 Li.upf
Re 186.21 Re.upf
Mo 95.94 Mo.upf
CELL_PARAMETERS angstrom
-2.5777 2.6311 1.0175
0.0490 -1.3363 3.5797
4.1074 1.7997 -1.4240
ATOMIC_POSITIONS crystal
Li 0.5000 0.5000 0.0000
Re 0.7500 0.2500 0.5000
Re 0.2500 0.7500 0.5000
Mo 0.0000 0.0000 0.0000

No. 6
! BaNaRe2C | the Alexandria database | PBEsol | optimized geometry; values from VASP
! VASP energy = -23.84 eV per formula unit
! mass density = 8.5 g/cm³
! Fermi-level density of states = 3.971 states/eV/f.u.
! volume = 106.2 Å³ per cell
! space group = P4/mmm
&SYSTEM
  ibrav = 0, nat = 5, ntyp = 4
/
ATOMIC_SPECIES
Na 22.99 Na.upf
C 12.01 C.upf
Ba 137.33 Ba.upf
Re 186.21 Re.upf
CELL_PARAMETERS angstrom
4.4842 0.0000 0.0000
0.0000 4.8663 0.0000
0.0000 0.0000 4.8663
ATOMIC_POSITIONS crystal
Na 0.0000 0.0000 0.0000
C 0.5000 0.0000 0.0000
Ba 0.5000 0.5000 0.5000
Re 0.0000 0.5000 0.0000
Re 0.0000 0.0000 0.5000

No. 7
! TbHSe | the Alexandria database | PBEsol | optimized geometry; values from VASP
! VASP energy = -16.71 eV per formula unit
! mass density = 8.2 g/cm³
! Fermi-level density of states = 0.000 states/eV/f.u.
! volume = 48.2 Å³ per cell
! space group = P-6m2
&SYSTEM
  ibrav = 0, nat = 3, ntyp = 3
/
ATOMIC_SPECIES
H 1.01 H.upf
Se 78.96 Se.upf
Tb 158.93 Tb.upf
CELL_PARAMETERS angstrom
-1.9566 -1.7991 2.7177
-0.7980 -0.6452 -3.6603
2.5679 -2.8733 -0.0533
ATOMIC_POSITIONS crystal
H 0.3333 0.6667 0.0000
Se 0.6667 0.3333 0.5000
Tb 0.0000 0.0000 0.0000

No. 8
! FeIr2 | the Alexandria database | PBEsol | optimized geometry; values from VASP
! VASP energy = -28.66 eV per formula unit
! mass density = 18.7 g/cm³
! Fermi-level density of states = 4.044 states/eV/f.u.
! volume = 156.4 Å³ per cell
! space group = Pnma
&SYSTEM
  ibrav = 0, nat = 12, ntyp = 2
/
ATOMIC_SPECIES
Fe 55.84 Fe.upf
Ir 192.22 Ir.upf
CELL_PARAMETERS angstrom
-3.5041 0.0384 1.3377
-1.8447 -1.2068 -4.7976
0.5704 -7.6894 1.7149
ATOMIC_POSITIONS crystal
Fe 0.7500 0.8730 0.0848
Fe 0.2500 0.6270 0.5848
Fe 0.7500 0.3730 0.4152
Fe 0.2500 0.1270 0.9152
Ir 0.2500 0.1369 0.5804
Ir 0.7500 0.3842 0.7450
Ir 0.2500 0.6369 0.9196
Ir 0.2500 0.1158 0.2450
Ir 0.7500 0.3631 0.0804
Ir 0.2500 0.6158 0.2550
Ir 0.7500 0.8631 0.4196
Ir 0.7500 0.8842 0.7550

No. 9
! KZn2CdB2O6F | the Alexandria database | PBEsol | optimized geometry; values from VASP
! VASP energy = -78.91 eV per formula unit
! mass density = 4.2 g/cm³
! Fermi-level density of states = 0.000 states/eV/f.u.
! volume = 330.6 Å³ per cell
! formation energy from raw total energies = -26.0 eV/f.u.
! space group = P-31c
&SYSTEM
  ibrav = 0, nat = 26, ntyp = 6
/
ATOMIC_SPECIES
B 10.81 B.upf
Zn 65.41 Zn.upf
Cd 112.41 Cd.upf
O 16.00 O.upf
K 39.10 K.upf
F 19.00 F.upf
CELL_PARAMETERS angstrom
-1.3084 4.8126 -0.6770
-1.8391 -3.5602 -3.0453
-11.7241 -1.8820 9.2806
ATOMIC_POSITIONS crystal
B 0.6667 0.3333 0.4052
B 0.3333 0.6667 0.5948
B 0.3333 0.6667 0.9052
B 0.6667 0.3333 0.0948
Zn 0.3333 0.6667 0.1157
Zn 0.6667 0.3333 0.6157
Zn 0.6667 0.3333 0.8843
Zn 0.3333 0.6667 0.3843
Cd 0.0000 0.0000 0.5000
Cd 0.0000 0.0000 0.0000
O 0.9334 0.3179 0.0955
O 0.9334 0.6155 0.4045
O 0.6821 0.6155 0.0955
O 0.3179 0.3845 0.9045
O 0.3845 0.0666 0.0955
O 0.6155 0.9334 0.9045
O 0.0666 0.3845 0.5955
O 0.3179 0.9334 0.5955
O 0.3845 0.3179 0.4045
O 0.0666 0.6821 0.9045
O 0.6821 0.0666 0.4045
O 0.6155 0.6821 0.5955
K 0.0000 0.0000 0.2500
K 0.0000 0.0000 0.7500
F 0.6667 0.3333 0.7500
F 0.3333 0.6667 0.2500

No. 10
! Mn4VSe5 | the Alexandria database | PBEsol | optimized geometry; values from VASP
! VASP energy = -70.39 eV per formula unit
! mass density = 6.1 g/cm³
! Fermi-level density of states = 9.020 states/eV/f.u.
! volume = 180.3 Å³ per cell
! formation energy from raw total energies = -2.5 eV/f.u.
! space group = R-3m
&SYSTEM
  ibrav = 0, nat = 10, ntyp = 3
/
ATOMIC_SPECIES
V 50.94 V.upf
Se 78.96 Se.upf
Mn 54.94 Mn.upf
CELL_PARAMETERS angstrom
3.6998 0.0000 0.0000
1.8499 3.2041 0.0000
1.8499 1.0680 15.2107
ATOMIC_POSITIONS crystal
V 0.0000 0.0000 0.0000
Se 0.6994 0.6994 0.9018
Se 0.8997 0.8997 0.3009
Se 0.5000 0.5000 0.5000
Se 0.1003 0.1003 0.6991
Se 0.3006 0.3006 0.0982
Mn 0.7999 0.7999 0.6004
Mn 0.5993 0.5993 0.2022
Mn 0.4007 0.4007 0.7978
Mn 0.2001 0.2001 0.3996

No. 11
! CaSiNi2 | the Alexandria database | PBEsol | optimized geometry; values from VASP
! VASP energy = -22.42 eV per formula unit
! mass density = 4.7 g/cm³
! Fermi-level density of states = 2.404 states/eV/f.u.
! volume = 66.0 Å³ per cell
! formation energy from raw total energies = -2.2 eV/f.u.
! space group = R-3m
&SYSTEM
  ibrav = 0, nat = 4, ntyp = 3
/
ATOMIC_SPECIES
Ni 58.69 Ni.upf
Si 28.09 Si.upf
Ca 40.08 Ca.upf
CELL_PARAMETERS angstrom
3.9496 0.0000 0.0000
1.9748 3.4205 0.0000
1.9748 1.1402 4.8862
ATOMIC_POSITIONS crystal
Ni 0.8080 0.8080 0.5759
Ni 0.1920 0.1920 0.4241
Si 0.5000 0.5000 0.5000
Ca 0.0000 0.0000 0.0000

No. 12
! FeTe2Os | the Alexandria database | PBEsol | optimized geometry; values from VASP
! distance to the lowest polymorph of the same formula = 0 meV/atom
! VASP energy = -26.27 eV per formula unit
! mass density = 10.2 g/cm³
! Fermi-level density of states = 3.377 states/eV/f.u.
! volume = 81.3 Å³ per cell
! formation energy from raw total energies = 2.0 eV/f.u.
! space group = R3m
&SYSTEM
  ibrav = 0, nat = 4, ntyp = 3
/
ATOMIC_SPECIES
Os 190.23 Os.upf
Te 127.60 Te.upf
Fe 55.84 Fe.upf
CELL_PARAMETERS angstrom
-1.7104 2.4443 1.0832
-2.6279 -0.5310 1.6988
3.6046 0.7010 8.7602
ATOMIC_POSITIONS crystal
Os 0.2388 0.2388 0.2835
Te 0.9770 0.9770 0.0689
Te 0.7753 0.7753 0.6742
Fe 0.5088 0.5088 0.4735

No. 13
! CuPbCl3 | the Alexandria database | PBEsol | optimized geometry; values from VASP
! VASP energy = -18.04 eV per formula unit
! mass density = 5.1 g/cm³
! volume = 122.5 Å³ per cell
! formation energy from raw total energies = -3.7 eV/f.u.
! space group = Cm
&SYSTEM
  ibrav = 0, nat = 5, ntyp = 3
/
ATOMIC_SPECIES
Cl 35.45 Cl.upf
Pb 207.20 Pb.upf
Cu 63.55 Cu.upf
CELL_PARAMETERS angstrom
4.5672 0.0100 -0.0246
0.0311 4.5672 -0.0246
0.2712 0.2700 5.8682
ATOMIC_POSITIONS crystal
Cl 0.0122 0.5094 0.5874
Cl 0.5292 0.5292 0.0621
Cl 0.5094 0.0122 0.5874
Pb 0.9595 0.9595 0.8822
Cu 0.5135 0.5135 0.4402

No. 14
! SbIrS | the Alexandria database | PBEsol | optimized geometry; values from VASP
! distance to the lowest polymorph of the same formula = 0 meV/atom
! VASP energy = -20.39 eV per formula unit
! mass density = 10.5 g/cm³
! volume = 218.5 Å³ per cell
! formation energy from raw total energies = -1.6 eV/f.u.
! space group = P2_13
&SYSTEM
  ibrav = 0, nat = 12, ntyp = 3
/
ATOMIC_SPECIES
Sb 121.76 Sb.upf
S 32.06 S.upf
Ir 192.22 Ir.upf
CELL_PARAMETERS angstrom
6.0228 0.0000 0.0000
0.0000 6.0228 0.0000
0.0000 0.0000 6.0228
ATOMIC_POSITIONS crystal
Sb 0.3759 0.3759 0.3759
Sb 0.6241 0.8759 0.1241
Sb 0.1241 0.6241 0.8759
Sb 0.8759 0.1241 0.6241
S 0.1170 0.8830 0.3830
S 0.6170 0.6170 0.6170
S 0.8830 0.3830 0.1170
S 0.3830 0.1170 0.8830
Ir 0.9847 0.5153 0.4847
Ir 0.0153 0.0153 0.0153
Ir 0.4847 0.9847 0.5153
Ir 0.5153 0.4847 0.9847

No. 15
! TaRe3Sn | the Alexandria database | PBEsol | optimized geometry; values from VASP
! VASP energy = -45.30 eV per formula unit
! mass density = 13.2 g/cm³
! Fermi-level density of states = 6.007 states/eV/f.u.
! volume = 107.7 Å³ per cell
! space group = Pm-3m
&SYSTEM
  ibrav = 0, nat = 5, ntyp = 3
/
ATOMIC_SPECIES
Re 186.21 Re.upf
Sn 118.71 Sn.upf
Ta 180.95 Ta.upf
CELL_PARAMETERS angstrom
4.7578 0.0000 0.0000
0.0000 4.7578 0.0000
0.0000 0.0000 4.7578
ATOMIC_POSITIONS crystal
Re 0.0000 0.0000 0.5000
Re 0.0000 0.5000 0.0000
Re 0.5000 0.0000 0.0000
Sn 0.5000 0.5000 0.5000
Ta 0.0000 0.0000 0.0000

No. 16
! FePtIN2 | the Alexandria database | PBEsol | optimized geometry; values from VASP
! VASP energy = -29.72 eV per formula unit
! mass density = 8.9 g/cm³
! Fermi-level density of states = 3.951 states/eV/f.u.
! volume = 75.7 Å³ per cell
! formation energy from raw total energies = 5.0 eV/f.u.
! space group = P4/mmm
&SYSTEM
  ibrav = 0, nat = 5, ntyp = 4
/
ATOMIC_SPECIES
Fe 55.84 Fe.upf
Pt 195.08 Pt.upf
N 14.01 N.upf
I 126.90 I.upf
CELL_PARAMETERS angstrom
-3.1690 1.6822 0.4780
-1.7262 -3.1676 -0.2961
0.4482 -0.7781 5.7098
ATOMIC_POSITIONS crystal
Fe 0.0000 0.0000 0.0000
Pt 0.5000 0.5000 0.5000
N 0.0000 0.5000 0.0000
N 0.5000 0.0000 0.0000
I 0.0000 0.0000 0.5000

No. 17
! Nb4IrSe10 | the Alexandria database | PBEsol | optimized geometry; values from VASP
! VASP energy = -102.23 eV per formula unit
! mass density = 6.9 g/cm³
! Fermi-level density of states = 5.665 states/eV/f.u.
! volume = 323.8 Å³ per cell
! formation energy from raw total energies = -10.6 eV/f.u.
! space group = P-1
&SYSTEM
  ibrav = 0, nat = 15, ntyp = 3
/
ATOMIC_SPECIES
Nb 92.91 Nb.upf
Se 78.96 Se.upf
Ir 192.22 Ir.upf
CELL_PARAMETERS angstrom
-2.6485 -5.1102 -1.5853
5.0999 -1.4224 -4.8307
4.8839 -6.7849 2.4350
ATOMIC_POSITIONS crystal
Nb 0.6699 0.2017 0.2936
Nb 0.7675 0.5990 0.9000
Nb 0.3301 0.7983 0.7064
Nb 0.2325 0.4010 0.1000
Se 0.3362 0.0440 0.2133
Se 0.7207 0.8368 0.4127
Se 0.8985 0.3605 0.4122
Se 0.1015 0.6395 0.5878
Se 0.4872 0.5581 0.2115
Se 0.2793 0.1632 0.5873
Se 0.5128 0.4419 0.7885
Se 0.9437 0.2448 0.9904
Se 0.0563 0.7552 0.0096
Se 0.6638 0.9560 0.7867
Ir 0.0000 0.0000 0.5000

No. 18
! KMnW2 | the Alexandria database | PBEsol | optimized geometry; values from VASP
! distance to the lowest polymorph of the same formula = 0 meV/atom
! VASP energy = -34.56 eV per formula unit
! mass density = 10.4 g/cm³
! Fermi-level density of states = 4.853 states/eV/f.u.
! volume = 73.6 Å³ per cell
! space group = P4/mmm
&SYSTEM
  ibrav = 0, nat = 4, ntyp = 3
/
ATOMIC_SPECIES
K 39.10 K.upf
Mn 54.94 Mn.upf
W 183.84 W.upf
CELL_PARAMETERS angstrom
2.7769 0.0000 0.0000
0.0000 2.7769 0.0000
0.0000 0.0000 9.5490
ATOMIC_POSITIONS crystal
K 0.5000 0.5000 0.0000
Mn 0.5000 0.5000 0.5000
W 0.0000 0.0000 0.3322
W 0.0000 0.0000 0.6678

No. 19
! YMg2Rh2 | the Alexandria database | PBEsol | optimized geometry; values from VASP
! distance to the lowest polymorph of the same formula = 0 meV/atom
! VASP energy = -28.91 eV per formula unit
! mass density = 6.5 g/cm³
! Fermi-level density of states = 1.690 states/eV/f.u.
! volume = 176.2 Å³ per cell
! space group = P4/mbm
&SYSTEM
  ibrav = 0, nat = 10, ntyp = 3
/
ATOMIC_SPECIES
Y 88.91 Y.upf
Rh 102.91 Rh.upf
Mg 24.30 Mg.upf
CELL_PARAMETERS angstrom
3.1551 0.0000 0.0000
0.0000 7.4737 0.0000
0.0000 0.0000 7.4737
ATOMIC_POSITIONS crystal
Y 0.0000 0.0000 0.0000
Y 0.0000 0.5000 0.5000
Rh 0.0000 0.6586 0.1586
Rh 0.0000 0.1586 0.3414
Rh 0.0000 0.8414 0.6586
Rh 0.0000 0.3414 0.8414
Mg 0.5000 0.3629 0.1371
Mg 0.5000 0.8629 0.3629
Mg 0.5000 0.6371 0.8629
Mg 0.5000 0.1371 0.6371

No. 20
! Rb3TeW | the Alexandria database | PBEsol | optimized geometry; values from VASP
! VASP energy = -14.40 eV per formula unit
! mass density = 3.5 g/cm³
! volume = 271.2 Å³ per cell
! formation energy from raw total energies = 6.0 eV/f.u.
! space group = Pm-3m
&SYSTEM
  ibrav = 0, nat = 5, ntyp = 3
/
ATOMIC_SPECIES
Rb 85.47 Rb.upf
W 183.84 W.upf
Te 127.60 Te.upf
CELL_PARAMETERS angstrom
6.4728 0.0000 0.0000
0.0000 6.4728 0.0000
0.0000 0.0000 6.4728
ATOMIC_POSITIONS crystal
Rb 0.5000 0.0000 0.0000
Rb 0.0000 0.0000 0.5000
Rb 0.0000 0.5000 0.0000
W 0.0000 0.0000 0.0000
Te 0.5000 0.5000 0.5000